Entry P
Here is a relaxed structure of YCuTeOs from OQMD. Energies are from PBE.

Symmetry ... F-43m (216)

a = 6.710 Å, b = 6.710 Å, c = 6.710 Å
α = 90.00°, β = 90.00°, γ = 90.00°
Positions (direct):
Y: 0.000 0.000 0.000
Y: 0.000 0.500 0.500
Y: 0.500 0.000 0.500
Y: 0.500 0.500 0.000
Cu: 0.250 0.250 0.250
Cu: 0.250 0.750 0.750
Cu: 0.750 0.250 0.750
Cu: 0.750 0.750 0.250
Te: 0.000 0.000 0.500
Te: 0.000 0.500 0.000
Te: 0.500 0.000 0.000
Te: 0.500 0.500 0.500
Os: 0.250 0.250 0.750
Os: 0.250 0.750 0.250
Os: 0.750 0.250 0.250
Os: 0.750 0.750 0.750

***

Entry Q
Here is a relaxed structure of YCuTeOs from OQMD. Energies are from PBE.

Symmetry ... F-43m (216)

a = 6.802 Å, b = 6.802 Å, c = 6.802 Å
α = 90.00°, β = 90.00°, γ = 90.00°
Positions (direct):
Y: 0.000 0.000 0.000
Y: 0.000 0.500 0.500
Y: 0.500 0.000 0.500
Y: 0.500 0.500 0.000
Cu: 0.000 0.000 0.500
Cu: 0.000 0.500 0.000
Cu: 0.500 0.000 0.000
Cu: 0.500 0.500 0.500
Te: 0.250 0.250 0.750
Te: 0.250 0.750 0.250
Te: 0.750 0.250 0.250
Te: 0.750 0.750 0.750
Os: 0.250 0.250 0.250
Os: 0.250 0.750 0.750
Os: 0.750 0.250 0.750
Os: 0.750 0.750 0.250

***

The least stable of them is entry Q.

***

Entry P
Here is a relaxed structure of TmCuOs from OQMD. Energies are from PBE.

Symmetry ... F-43m (216)

a = 6.298 Å, b = 6.298 Å, c = 6.298 Å
α = 90.00°, β = 90.00°, γ = 90.00°
Positions (direct):
Tm: 0.000 0.000 0.000
Tm: 0.000 0.500 0.500
Tm: 0.500 0.000 0.500
Tm: 0.500 0.500 0.000
Cu: 0.250 0.250 0.750
Cu: 0.250 0.750 0.250
Cu: 0.750 0.250 0.250
Cu: 0.750 0.750 0.750
Os: 0.250 0.250 0.250
Os: 0.250 0.750 0.750
Os: 0.750 0.250 0.750
Os: 0.750 0.750 0.250

***

Entry Q
Here is a relaxed structure of TmCuOs from OQMD. Energies are from PBE.

Symmetry ... F-43m (216)

a = 6.228 Å, b = 6.228 Å, c = 6.228 Å
α = 90.00°, β = 90.00°, γ = 90.00°
Positions (direct):
Tm: 0.000 0.000 0.000
Tm: 0.000 0.500 0.500
Tm: 0.500 0.000 0.500
Tm: 0.500 0.500 0.000
Cu: 0.000 0.000 0.500
Cu: 0.000 0.500 0.000
Cu: 0.500 0.000 0.000
Cu: 0.500 0.500 0.500
Os: 0.250 0.250 0.750
Os: 0.250 0.750 0.250
Os: 0.750 0.250 0.250
Os: 0.750 0.750 0.750

***

The least stable of them is entry P.

***

Entry P
Here is a relaxed structure of CuPSe3 from OQMD. Energies are from PBE.

Symmetry ... C2/m (12)

a = 6.668 Å, b = 6.668 Å, c = 7.416 Å
α = 121.86°, β = 121.86°, γ = 61.69°
Positions (direct):
Cu: 0.238 0.762 0.000
Cu: 0.762 0.238 0.000
P: 0.158 0.158 0.730
P: 0.842 0.842 0.270
Se: 0.187 0.187 0.062
Se: 0.249 0.751 0.500
Se: 0.345 0.345 0.714
Se: 0.655 0.655 0.286
Se: 0.751 0.249 0.500
Se: 0.813 0.813 0.938

***

Entry Q
Here is a relaxed structure of CuPSe3 from OQMD. Energies are from PBE.

Symmetry ... C2/m (12)

a = 6.212 Å, b = 6.212 Å, c = 7.006 Å
α = 98.49°, β = 98.49°, γ = 120.03°
Positions (direct):
Cu: 0.167 0.833 0.000
Cu: 0.833 0.167 0.000
P: 0.444 0.444 0.834
P: 0.556 0.556 0.166
Se: 0.072 0.418 0.754
Se: 0.235 0.235 0.245
Se: 0.418 0.072 0.754
Se: 0.582 0.928 0.246
Se: 0.765 0.765 0.755
Se: 0.928 0.582 0.246

***

The least stable of them is entry P.

***

Entry P
Here is a relaxed structure of PaCuTc from OQMD. Energies are from PBE.

Symmetry ... F-43m (216)

a = 6.148 Å, b = 6.148 Å, c = 6.148 Å
α = 90.00°, β = 90.00°, γ = 90.00°
Positions (direct):
Pa: 0.000 0.000 0.000
Pa: 0.000 0.500 0.500
Pa: 0.500 0.000 0.500
Pa: 0.500 0.500 0.000
Cu: 0.250 0.250 0.250
Cu: 0.250 0.750 0.750
Cu: 0.750 0.250 0.750
Cu: 0.750 0.750 0.250
Tc: 0.000 0.000 0.500
Tc: 0.000 0.500 0.000
Tc: 0.500 0.000 0.000
Tc: 0.500 0.500 0.500

***

Entry Q
Here is a relaxed structure of PaCuTc from OQMD. Energies are from PBE.

Symmetry ... F-43m (216)

a = 6.251 Å, b = 6.251 Å, c = 6.251 Å
α = 90.00°, β = 90.00°, γ = 90.00°
Positions (direct):
Pa: 0.000 0.000 0.000
Pa: 0.000 0.500 0.500
Pa: 0.500 0.000 0.500
Pa: 0.500 0.500 0.000
Cu: 0.250 0.250 0.750
Cu: 0.250 0.750 0.250
Cu: 0.750 0.250 0.250
Cu: 0.750 0.750 0.750
Tc: 0.250 0.250 0.250
Tc: 0.250 0.750 0.750
Tc: 0.750 0.250 0.750
Tc: 0.750 0.750 0.250

***

The least stable of them is entry Q.

***

Entry P
Here is a relaxed structure of PaCuTe from OQMD. Energies are from PBE.

Symmetry ... F-43m (216)

a = 6.579 Å, b = 6.579 Å, c = 6.579 Å
α = 90.00°, β = 90.00°, γ = 90.00°
Positions (direct):
Pa: 0.000 0.000 0.000
Pa: 0.000 0.500 0.500
Pa: 0.500 0.000 0.500
Pa: 0.500 0.500 0.000
Cu: 0.000 0.000 0.500
Cu: 0.000 0.500 0.000
Cu: 0.500 0.000 0.000
Cu: 0.500 0.500 0.500
Te: 0.250 0.250 0.750
Te: 0.250 0.750 0.250
Te: 0.750 0.250 0.250
Te: 0.750 0.750 0.750

***

Entry Q
Here is a relaxed structure of PaCuTe from OQMD. Energies are from PBE.

Symmetry ... F-43m (216)

a = 6.945 Å, b = 6.945 Å, c = 6.945 Å
α = 90.00°, β = 90.00°, γ = 90.00°
Positions (direct):
Pa: 0.000 0.000 0.000
Pa: 0.000 0.500 0.500
Pa: 0.500 0.000 0.500
Pa: 0.500 0.500 0.000
Cu: 0.250 0.250 0.750
Cu: 0.250 0.750 0.250
Cu: 0.750 0.250 0.250
Cu: 0.750 0.750 0.750
Te: 0.250 0.250 0.250
Te: 0.250 0.750 0.750
Te: 0.750 0.250 0.750
Te: 0.750 0.750 0.250

***

The least stable of them is entry P.

***

Entry P
Here is a relaxed structure of CuPdPbW from OQMD. Energies are from PBE.

Symmetry ... F-43m (216)

a = 6.514 Å, b = 6.514 Å, c = 6.514 Å
α = 90.00°, β = 90.00°, γ = 90.00°
Positions (direct):
Cu: 0.000 0.000 0.000
Cu: 0.000 0.500 0.500
Cu: 0.500 0.000 0.500
Cu: 0.500 0.500 0.000
Pd: 0.000 0.000 0.500
Pd: 0.000 0.500 0.000
Pd: 0.500 0.000 0.000
Pd: 0.500 0.500 0.500
Pb: 0.250 0.250 0.750
Pb: 0.250 0.750 0.250
Pb: 0.750 0.250 0.250
Pb: 0.750 0.750 0.750
W: 0.250 0.250 0.250
W: 0.250 0.750 0.750
W: 0.750 0.250 0.750
W: 0.750 0.750 0.250

***

Entry Q
Here is a relaxed structure of CuPdPbW from OQMD. Energies are from PBE.

Symmetry ... F-43m (216)

a = 6.524 Å, b = 6.524 Å, c = 6.524 Å
α = 90.00°, β = 90.00°, γ = 90.00°
Positions (direct):
Cu: 0.000 0.000 0.000
Cu: 0.000 0.500 0.500
Cu: 0.500 0.000 0.500
Cu: 0.500 0.500 0.000
Pd: 0.250 0.250 0.250
Pd: 0.250 0.750 0.750
Pd: 0.750 0.250 0.750
Pd: 0.750 0.750 0.250
Pb: 0.250 0.250 0.750
Pb: 0.250 0.750 0.250
Pb: 0.750 0.250 0.250
Pb: 0.750 0.750 0.750
W: 0.000 0.000 0.500
W: 0.000 0.500 0.000
W: 0.500 0.000 0.000
W: 0.500 0.500 0.500

***

The least stable of them is entry P.

***

Entry P
Here is a relaxed structure of ZrCuPdPb from OQMD. Energies are from PBE.

Symmetry ... F-43m (216)

a = 6.659 Å, b = 6.659 Å, c = 6.659 Å
α = 90.00°, β = 90.00°, γ = 90.00°
Positions (direct):
Zr: 0.000 0.000 0.000
Zr: 0.000 0.500 0.500
Zr: 0.500 0.000 0.500
Zr: 0.500 0.500 0.000
Cu: 0.250 0.250 0.750
Cu: 0.250 0.750 0.250
Cu: 0.750 0.250 0.250
Cu: 0.750 0.750 0.750
Pd: 0.250 0.250 0.250
Pd: 0.250 0.750 0.750
Pd: 0.750 0.250 0.750
Pd: 0.750 0.750 0.250
Pb: 0.000 0.000 0.500
Pb: 0.000 0.500 0.000
Pb: 0.500 0.000 0.000
Pb: 0.500 0.500 0.500

***

Entry Q
Here is a relaxed structure of ZrCuPdPb from OQMD. Energies are from PBE.

Symmetry ... F-43m (216)

a = 6.698 Å, b = 6.698 Å, c = 6.698 Å
α = 90.00°, β = 90.00°, γ = 90.00°
Positions (direct):
Zr: 0.000 0.000 0.000
Zr: 0.000 0.500 0.500
Zr: 0.500 0.000 0.500
Zr: 0.500 0.500 0.000
Cu: 0.000 0.000 0.500
Cu: 0.000 0.500 0.000
Cu: 0.500 0.000 0.000
Cu: 0.500 0.500 0.500
Pd: 0.250 0.250 0.750
Pd: 0.250 0.750 0.250
Pd: 0.750 0.250 0.250
Pd: 0.750 0.750 0.750
Pb: 0.250 0.250 0.250
Pb: 0.250 0.750 0.750
Pb: 0.750 0.250 0.750
Pb: 0.750 0.750 0.250

***

The least stable of them is entry Q.

***

Entry P
Here is a relaxed structure of TaCuPtPb from OQMD. Energies are from PBE.

Symmetry ... F-43m (216)

a = 6.596 Å, b = 6.596 Å, c = 6.596 Å
α = 90.00°, β = 90.00°, γ = 90.00°
Positions (direct):
Ta: 0.000 0.000 0.000
Ta: 0.000 0.500 0.500
Ta: 0.500 0.000 0.500
Ta: 0.500 0.500 0.000
Cu: 0.250 0.250 0.750
Cu: 0.250 0.750 0.250
Cu: 0.750 0.250 0.250
Cu: 0.750 0.750 0.750
Pt: 0.250 0.250 0.250
Pt: 0.250 0.750 0.750
Pt: 0.750 0.250 0.750
Pt: 0.750 0.750 0.250
Pb: 0.000 0.000 0.500
Pb: 0.000 0.500 0.000
Pb: 0.500 0.000 0.000
Pb: 0.500 0.500 0.500

***

Entry Q
Here is a relaxed structure of TaCuPtPb from OQMD. Energies are from PBE.

Symmetry ... F-43m (216)

a = 6.585 Å, b = 6.585 Å, c = 6.585 Å
α = 90.00°, β = 90.00°, γ = 90.00°
Positions (direct):
Ta: 0.000 0.000 0.000
Ta: 0.000 0.500 0.500
Ta: 0.500 0.000 0.500
Ta: 0.500 0.500 0.000
Cu: 0.000 0.000 0.500
Cu: 0.000 0.500 0.000
Cu: 0.500 0.000 0.000
Cu: 0.500 0.500 0.500
Pt: 0.250 0.250 0.750
Pt: 0.250 0.750 0.250
Pt: 0.750 0.250 0.250
Pt: 0.750 0.750 0.750
Pb: 0.250 0.250 0.250
Pb: 0.250 0.750 0.750
Pb: 0.750 0.250 0.750
Pb: 0.750 0.750 0.250

***

The least stable of them is entry P.

***

Entry P
Here is a relaxed structure of CuPtPbW from OQMD. Energies are from PBE.

Symmetry ... F-43m (216)

a = 6.542 Å, b = 6.542 Å, c = 6.542 Å
α = 90.00°, β = 90.00°, γ = 90.00°
Positions (direct):
Cu: 0.000 0.000 0.000
Cu: 0.000 0.500 0.500
Cu: 0.500 0.000 0.500
Cu: 0.500 0.500 0.000
Pt: 0.000 0.000 0.500
Pt: 0.000 0.500 0.000
Pt: 0.500 0.000 0.000
Pt: 0.500 0.500 0.500
Pb: 0.250 0.250 0.750
Pb: 0.250 0.750 0.250
Pb: 0.750 0.250 0.250
Pb: 0.750 0.750 0.750
W: 0.250 0.250 0.250
W: 0.250 0.750 0.750
W: 0.750 0.250 0.750
W: 0.750 0.750 0.250

***

Entry Q
Here is a relaxed structure of CuPtPbW from OQMD. Energies are from PBE.

Symmetry ... F-43m (216)

a = 6.524 Å, b = 6.524 Å, c = 6.524 Å
α = 90.00°, β = 90.00°, γ = 90.00°
Positions (direct):
Cu: 0.000 0.000 0.000
Cu: 0.000 0.500 0.500
Cu: 0.500 0.000 0.500
Cu: 0.500 0.500 0.000
Pt: 0.250 0.250 0.250
Pt: 0.250 0.750 0.750
Pt: 0.750 0.250 0.750
Pt: 0.750 0.750 0.250
Pb: 0.250 0.250 0.750
Pb: 0.250 0.750 0.250
Pb: 0.750 0.250 0.250
Pb: 0.750 0.750 0.750
W: 0.000 0.000 0.500
W: 0.000 0.500 0.000
W: 0.500 0.000 0.000
W: 0.500 0.500 0.500

***

The least stable of them is entry P.

***

Entry P
Here is a relaxed structure of RbCuPb from OQMD. Energies are from PBE.

Symmetry ... F-43m (216)

a = 7.736 Å, b = 7.736 Å, c = 7.736 Å
α = 90.00°, β = 90.00°, γ = 90.00°
Positions (direct):
Rb: 0.000 0.000 0.000
Rb: 0.000 0.500 0.500
Rb: 0.500 0.000 0.500
Rb: 0.500 0.500 0.000
Cu: 0.250 0.250 0.750
Cu: 0.250 0.750 0.250
Cu: 0.750 0.250 0.250
Cu: 0.750 0.750 0.750
Pb: 0.250 0.250 0.250
Pb: 0.250 0.750 0.750
Pb: 0.750 0.250 0.750
Pb: 0.750 0.750 0.250

***

Entry Q
Here is a relaxed structure of RbCuPb from OQMD. Energies are from PBE.

Symmetry ... F-43m (216)

a = 7.323 Å, b = 7.323 Å, c = 7.323 Å
α = 90.00°, β = 90.00°, γ = 90.00°
Positions (direct):
Rb: 0.000 0.000 0.000
Rb: 0.000 0.500 0.500
Rb: 0.500 0.000 0.500
Rb: 0.500 0.500 0.000
Cu: 0.250 0.250 0.750
Cu: 0.250 0.750 0.250
Cu: 0.750 0.250 0.250
Cu: 0.750 0.750 0.750
Pb: 0.000 0.000 0.500
Pb: 0.000 0.500 0.000
Pb: 0.500 0.000 0.000
Pb: 0.500 0.500 0.500

***

The least stable of them is entry P.

***

Entry P
Here is a relaxed structure of YCuRePb from OQMD. Energies are from PBE.

Symmetry ... F-43m (216)

a = 6.806 Å, b = 6.806 Å, c = 6.806 Å
α = 90.00°, β = 90.00°, γ = 90.00°
Positions (direct):
Y: 0.000 0.000 0.000
Y: 0.000 0.500 0.500
Y: 0.500 0.000 0.500
Y: 0.500 0.500 0.000
Cu: 0.250 0.250 0.750
Cu: 0.250 0.750 0.250
Cu: 0.750 0.250 0.250
Cu: 0.750 0.750 0.750
Re: 0.250 0.250 0.250
Re: 0.250 0.750 0.750
Re: 0.750 0.250 0.750
Re: 0.750 0.750 0.250
Pb: 0.000 0.000 0.500
Pb: 0.000 0.500 0.000
Pb: 0.500 0.000 0.000
Pb: 0.500 0.500 0.500

***

Entry Q
Here is a relaxed structure of YCuRePb from OQMD. Energies are from PBE.

Symmetry ... F-43m (216)

a = 6.857 Å, b = 6.857 Å, c = 6.857 Å
α = 90.00°, β = 90.00°, γ = 90.00°
Positions (direct):
Y: 0.000 0.000 0.000
Y: 0.000 0.500 0.500
Y: 0.500 0.000 0.500
Y: 0.500 0.500 0.000
Cu: 0.000 0.000 0.500
Cu: 0.000 0.500 0.000
Cu: 0.500 0.000 0.000
Cu: 0.500 0.500 0.500
Re: 0.250 0.250 0.750
Re: 0.250 0.750 0.250
Re: 0.750 0.250 0.250
Re: 0.750 0.750 0.750
Pb: 0.250 0.250 0.250
Pb: 0.250 0.750 0.750
Pb: 0.750 0.250 0.750
Pb: 0.750 0.750 0.250

***

The least stable of them is entry Q.

***

Entry P
Here is a relaxed structure of ZnCuRePb from OQMD. Energies are from PBE.

Symmetry ... F-43m (216)

a = 6.445 Å, b = 6.445 Å, c = 6.445 Å
α = 90.00°, β = 90.00°, γ = 90.00°
Positions (direct):
Zn: 0.000 0.000 0.000
Zn: 0.000 0.500 0.500
Zn: 0.500 0.000 0.500
Zn: 0.500 0.500 0.000
Cu: 0.250 0.250 0.750
Cu: 0.250 0.750 0.250
Cu: 0.750 0.250 0.250
Cu: 0.750 0.750 0.750
Re: 0.250 0.250 0.250
Re: 0.250 0.750 0.750
Re: 0.750 0.250 0.750
Re: 0.750 0.750 0.250
Pb: 0.000 0.000 0.500
Pb: 0.000 0.500 0.000
Pb: 0.500 0.000 0.000
Pb: 0.500 0.500 0.500

***

Entry Q
Here is a relaxed structure of ZnCuRePb from OQMD. Energies are from PBE.

Symmetry ... F-43m (216)

a = 6.443 Å, b = 6.443 Å, c = 6.443 Å
α = 90.00°, β = 90.00°, γ = 90.00°
Positions (direct):
Zn: 0.000 0.000 0.000
Zn: 0.000 0.500 0.500
Zn: 0.500 0.000 0.500
Zn: 0.500 0.500 0.000
Cu: 0.000 0.000 0.500
Cu: 0.000 0.500 0.000
Cu: 0.500 0.000 0.000
Cu: 0.500 0.500 0.500
Re: 0.250 0.250 0.750
Re: 0.250 0.750 0.250
Re: 0.750 0.250 0.250
Re: 0.750 0.750 0.750
Pb: 0.250 0.250 0.250
Pb: 0.250 0.750 0.750
Pb: 0.750 0.250 0.750
Pb: 0.750 0.750 0.250

***

The least stable of them is entry Q.

***

Entry P
Here is a relaxed structure of ZrCuRePb from OQMD. Energies are from PBE.

Symmetry ... F-43m (216)

a = 6.666 Å, b = 6.666 Å, c = 6.666 Å
α = 90.00°, β = 90.00°, γ = 90.00°
Positions (direct):
Zr: 0.000 0.000 0.000
Zr: 0.000 0.500 0.500
Zr: 0.500 0.000 0.500
Zr: 0.500 0.500 0.000
Cu: 0.000 0.000 0.500
Cu: 0.000 0.500 0.000
Cu: 0.500 0.000 0.000
Cu: 0.500 0.500 0.500
Re: 0.250 0.250 0.750
Re: 0.250 0.750 0.250
Re: 0.750 0.250 0.250
Re: 0.750 0.750 0.750
Pb: 0.250 0.250 0.250
Pb: 0.250 0.750 0.750
Pb: 0.750 0.250 0.750
Pb: 0.750 0.750 0.250

***

Entry Q
Here is a relaxed structure of ZrCuRePb from OQMD. Energies are from PBE.

Symmetry ... F-43m (216)

a = 6.641 Å, b = 6.641 Å, c = 6.641 Å
α = 90.00°, β = 90.00°, γ = 90.00°
Positions (direct):
Zr: 0.000 0.000 0.000
Zr: 0.000 0.500 0.500
Zr: 0.500 0.000 0.500
Zr: 0.500 0.500 0.000
Cu: 0.250 0.250 0.750
Cu: 0.250 0.750 0.250
Cu: 0.750 0.250 0.250
Cu: 0.750 0.750 0.750
Re: 0.250 0.250 0.250
Re: 0.250 0.750 0.750
Re: 0.750 0.250 0.750
Re: 0.750 0.750 0.250
Pb: 0.000 0.000 0.500
Pb: 0.000 0.500 0.000
Pb: 0.500 0.000 0.000
Pb: 0.500 0.500 0.500

***

The least stable of them is entry P.

***

Entry P
Here is a relaxed structure of YCuPbSe2S from OQMD. Energies are from PBE.

Symmetry ... Pnma (62)

a = 10.591 Å, b = 4.021 Å, c = 13.445 Å
α = 90.00°, β = 90.00°, γ = 90.00°
Positions (direct):
Y: 0.006 0.250 0.242
Y: 0.494 0.750 0.742
Y: 0.506 0.250 0.258
Y: 0.994 0.750 0.758
Cu: 0.248 0.250 0.719
Cu: 0.252 0.750 0.219
Cu: 0.748 0.250 0.781
Cu: 0.752 0.750 0.281
Pb: 0.244 0.750 0.513
Pb: 0.256 0.250 0.013
Pb: 0.744 0.750 0.987
Pb: 0.756 0.250 0.487
Se: 0.059 0.250 0.610
Se: 0.246 0.750 0.833
Se: 0.254 0.250 0.333
Se: 0.441 0.750 0.110
Se: 0.559 0.250 0.890
Se: 0.746 0.750 0.667
Se: 0.754 0.250 0.167
Se: 0.941 0.750 0.390
S: 0.076 0.750 0.116
S: 0.424 0.250 0.616
S: 0.576 0.750 0.384
S: 0.924 0.250 0.884

***

Entry Q
Here is a relaxed structure of YCuPbSe2S from OQMD. Energies are from PBE.

Symmetry ... Cmcm (63)

a = 7.042 Å, b = 7.042 Å, c = 10.286 Å
α = 90.00°, β = 90.00°, γ = 146.81°
Positions (direct):
Y: 0.000 0.000 0.000
Y: 0.000 0.000 0.500
Cu: 0.473 0.527 0.750
Cu: 0.527 0.473 0.250
Pb: 0.255 0.745 0.250
Pb: 0.745 0.255 0.750
Se: 0.356 0.644 0.564
Se: 0.356 0.644 0.936
Se: 0.644 0.356 0.064
Se: 0.644 0.356 0.436
S: 0.070 0.930 0.750
S: 0.930 0.070 0.250

***

The least stable of them is entry P.